VASP calculation (PBE) on a relaxed Tl4InSn crystal.

The calculation puts the distance to the lowest polymorph of the same formula at 56 meV per atom. The calculated total energy comes out at -2.62 eV per atom. The energy of formation comes out at 0.084 eV per atom. The value obtained for the total magnetic moment is 0.00 μB/f.u.

The structure belongs to space group C2/m (No. 12); the cell edges are 7.321, 7.318 and 7.488 Å and the angles 90.00°, 90.20° and 90.00°. The inequivalent atoms are Tl at (0.250, 0.250, 0.248), In at (0.000, 0.000, 0.000) and Sn at (0.000, 0.500, 0.500).